[1]
DFT (PBE) results for crystalline V3NiH3 at its relaxed geometry.

Properties
* magnetization: 1.149 μB/f.u.
* symmetry: Pm-3n
* total energy: -88.286 eV/cell

abc: 4.9353 4.9353 4.9353
angles: 90.00 90.00 90.00
Element x y z (fractional)
V (0.5000, 0.0000, 0.7500)
V (0.0000, 0.7500, 0.5000)
V (0.2500, 0.5000, 0.0000)
V (0.0000, 0.2500, 0.5000)
V (0.7500, 0.5000, 0.0000)
V (0.5000, 0.0000, 0.2500)
H (0.5000, 0.2500, 0.0000)
H (0.0000, 0.5000, 0.7500)
H (0.5000, 0.7500, 0.0000)
H (0.7500, 0.0000, 0.5000)
H (0.2500, 0.0000, 0.5000)
H (0.0000, 0.5000, 0.2500)
Ni (0.5000, 0.5000, 0.5000)
Ni (0.0000, 0.0000, 0.0000)

[2]
DFT (PBE) results for crystalline V5NiH3 at its relaxed geometry.

Properties
* magnetization: 0.001 μB/f.u.
* symmetry: C2/m
* total energy: -124.385 eV/cell

abc: 5.2860 5.2860 7.0550
angles: 71.10 71.10 70.22
Element x y z (fractional)
H (0.3202, 0.3202, 0.1785)
H (0.6798, 0.6798, 0.8215)
H (0.0000, 0.0000, 0.0000)
H (0.3645, 0.3645, 0.7373)
H (0.6355, 0.6355, 0.2627)
H (0.0000, 0.0000, 0.5000)
V (0.0725, 0.6047, 0.6577)
V (0.7713, 0.7713, 0.0008)
V (0.9275, 0.3953, 0.3423)
V (0.7163, 0.2837, 0.0000)
V (0.2287, 0.2287, 0.9992)
V (0.2837, 0.7163, 0.0000)
V (0.4140, 0.4140, 0.3545)
V (0.3953, 0.9275, 0.3423)
V (0.5860, 0.5860, 0.6455)
V (0.6047, 0.0725, 0.6577)
Ni (0.0931, 0.0931, 0.6875)
Ni (0.9069, 0.9069, 0.3125)

[3]
DFT (PBE) results for crystalline V3NiH6 at its relaxed geometry.

Properties
* magnetization: 0.000 μB/f.u.
* symmetry: Cmc2_1
* total energy: -109.056 eV/cell

abc: 4.4230 5.5843 5.5843
angles: 100.67 90.00 90.00
Element x y z (fractional)
Ni (0.9762, 0.1679, 0.8321)
Ni (0.4762, 0.8321, 0.1679)
H (0.2010, 0.6569, 0.6367)
H (0.7010, 0.6367, 0.6569)
H (0.1989, 0.1114, 0.5790)
H (0.1989, 0.4210, 0.8886)
H (0.7191, 0.9868, 0.0132)
H (0.7010, 0.3431, 0.3633)
H (0.2010, 0.3633, 0.3431)
H (0.6989, 0.8886, 0.4210)
H (0.6989, 0.5790, 0.1114)
H (0.6237, 0.2064, 0.7936)
H (0.2191, 0.0132, 0.9868)
H (0.1237, 0.7936, 0.2064)
V (0.4370, 0.3817, 0.6183)
V (0.4648, 0.3128, 0.0935)
V (0.4648, 0.9065, 0.6872)
V (0.9370, 0.6183, 0.3817)
V (0.9648, 0.0935, 0.3128)
V (0.9648, 0.6872, 0.9065)

[4]
DFT (PBE) results for crystalline V3Ni5H12 at its relaxed geometry.

Properties
* magnetization: 1.720 μB/f.u.
* symmetry: Ia-3d
* total energy: -388.225 eV/cell

abc: 8.8295 8.8295 8.8295
angles: 109.47 109.47 109.47
Element x y z (fractional)
Ni (0.0000, 0.5000, 0.5000)
Ni (0.6250, 0.7500, 0.8750)
Ni (0.3750, 0.1250, 0.7500)
Ni (0.5000, 0.5000, 0.0000)
Ni (0.5000, 0.5000, 0.5000)
Ni (0.0000, 0.5000, 0.0000)
Ni (0.2500, 0.8750, 0.1250)
Ni (0.3750, 0.2500, 0.1250)
Ni (0.7500, 0.1250, 0.8750)
Ni (0.2500, 0.3750, 0.6250)
Ni (0.7500, 0.6250, 0.3750)
Ni (0.0000, 0.0000, 0.0000)
Ni (0.1250, 0.3750, 0.2500)
Ni (0.6250, 0.8750, 0.2500)
Ni (0.5000, 0.0000, 0.5000)
Ni (0.8750, 0.6250, 0.7500)
Ni (0.1250, 0.7500, 0.3750)
Ni (0.8750, 0.2500, 0.6250)
Ni (0.5000, 0.0000, 0.0000)
Ni (0.0000, 0.0000, 0.5000)
V (0.3750, 0.7500, 0.6250)
V (0.6250, 0.3750, 0.7500)
V (0.8750, 0.7500, 0.1250)
V (0.6250, 0.2500, 0.3750)
V (0.1250, 0.2500, 0.8750)
V (0.2500, 0.1250, 0.3750)
V (0.7500, 0.3750, 0.1250)
V (0.2500, 0.6250, 0.8750)
V (0.3750, 0.6250, 0.2500)
V (0.1250, 0.8750, 0.7500)
V (0.8750, 0.1250, 0.2500)
V (0.7500, 0.8750, 0.6250)
H (0.0482, 0.6359, 0.7175)
H (0.9518, 0.5877, 0.1693)
H (0.1359, 0.4183, 0.0877)
H (0.5482, 0.3307, 0.9123)
H (0.0877, 0.9183, 0.1359)
H (0.8641, 0.5817, 0.9123)
H (0.4183, 0.1359, 0.5877)
H (0.6359, 0.5877, 0.9183)
H (0.8641, 0.2825, 0.4518)
H (0.5877, 0.9518, 0.6693)
H (0.2175, 0.5482, 0.6359)
H (0.2175, 0.6693, 0.0817)
H (0.3307, 0.5482, 0.4123)
H (0.7175, 0.5817, 0.1693)
H (0.7175, 0.1359, 0.0482)
H (0.8307, 0.9123, 0.0482)
H (0.2825, 0.4183, 0.8307)
H (0.5817, 0.8641, 0.4123)
H (0.4183, 0.2825, 0.3307)
H (0.3641, 0.9518, 0.7825)
H (0.7825, 0.3307, 0.9183)
H (0.8307, 0.9183, 0.2825)
H (0.5482, 0.2175, 0.1359)
H (0.5817, 0.7175, 0.6693)
H (0.1359, 0.7175, 0.5482)
H (0.0877, 0.1693, 0.4518)
H (0.2825, 0.8641, 0.9518)
H (0.3641, 0.4123, 0.0817)
H (0.4123, 0.0482, 0.3307)
H (0.7825, 0.4518, 0.3641)
H (0.4518, 0.7825, 0.8641)
H (0.9518, 0.3641, 0.2825)
H (0.4518, 0.6693, 0.0877)
H (0.6693, 0.2175, 0.5817)
H (0.0482, 0.4123, 0.8307)
H (0.9123, 0.0817, 0.8641)
H (0.1693, 0.0817, 0.7175)
H (0.0817, 0.9123, 0.3641)
H (0.3307, 0.7825, 0.4183)
H (0.1693, 0.0877, 0.9518)
H (0.6359, 0.0482, 0.2175)
H (0.9123, 0.8307, 0.5482)
H (0.5877, 0.6359, 0.4183)
H (0.4123, 0.3641, 0.5817)
H (0.9183, 0.8307, 0.7825)
H (0.9183, 0.0877, 0.6359)
H (0.6693, 0.4518, 0.5877)
H (0.0817, 0.1693, 0.2175)